Density functional theory data (PBE) for a relaxed structure of Ca2MgPa.

Structure (POSCAR):
```
Ca2MgPa
1.0
-0.751 3.122 -0.901
-2.696 1.499 1.269
5.684 5.889 9.500
Mg Pa Ca
1 1 2
Direct
0.500 0.500 0.500
0.000 0.000 0.000
0.089 0.089 0.732
0.911 0.911 0.268
```

**Calculated formation energy**: 0.39 eV/atom
**Crystal system**: trigonal